1.
An optimized crystal structure of CaBiH2O4, computed with PBE.

Summary:
DOS at the Fermi energy = 2.9 states/eV/f.u.
Space group = I222 (23)
Energy = -0.398 Ry per atom

Unit cell a=4.8366 b=4.8366 c=4.8366 alpha=118.20 beta=110.16 gamma=100.53
Closest atoms and distances in Å follow each position.
Positions (direct):
Ca  0.0000  0.0000  0.0000  8 O 2.46-2.56
Bi  0.5000  0.5000  0.0000  4 O 2.26
H  0.2798  0.7798  0.5000  2 O 1.23
H  0.7202  0.2202  0.5000  2 O 1.23
O  0.1258  0.9575  0.5335  1 H 1.23
O  0.4240  0.5923  0.4665  1 H 1.23
O  0.5760  0.0425  0.1684  1 H 1.23
O  0.8742  0.4077  0.8316  1 H 1.23


2.
An optimized crystal structure of CaBi2HOs, computed with PBE.

Summary:
DOS at the Fermi energy = 3.9 states/eV/f.u.
Space group = P4/mmm (123)
Energy = -0.324 Ry per atom

Unit cell a=4.8256 b=4.8256 c=4.2154 alpha=90.00 beta=90.00 gamma=90.00
Closest atoms and distances in Å follow each position.
Positions (direct):
Ca  0.0000  0.0000  0.0000  2 H 2.11
Bi  0.0000  0.5000  0.5000  2 H 2.41
Bi  0.5000  0.0000  0.5000  2 H 2.41
H  0.0000  0.0000  0.5000  2 Ca 2.11
Os  0.5000  0.5000  0.0000  8 Bi 3.20, 4 Ca 3.41


3.
An optimized crystal structure of CaBi2HPb, computed with PBE.

Summary:
DOS at the Fermi energy = 2.5 states/eV/f.u.
Space group = P4/mmm (123)
Energy = -0.256 Ry per atom

Unit cell a=5.1574 b=5.1574 c=4.7620 alpha=90.00 beta=90.00 gamma=90.00
Closest atoms and distances in Å follow each position.
Positions (direct):
Ca  0.0000  0.0000  0.0000  2 H 2.38
Bi  0.0000  0.5000  0.5000  2 H 2.58
Bi  0.5000  0.0000  0.5000  2 H 2.58
H  0.0000  0.0000  0.5000  2 Ca 2.38, 4 Bi 2.58
Pb  0.5000  0.5000  0.0000  8 Bi 3.51, 4 Ca 3.65